Computed, not measured: a geometry-optimized KCeAgS3 structure at the PBE-GGA level of DFT.

Computed properties:
theoretical density	3.9	Mg/m³
VASP energy	-60.01	eV for the cell shown
ΔE_f (raw)	-1.290	eV/atom
N(E_F)	0.017	states/eV per atom

Cell: 8.676 4.173 9.336 Å, 90.00 105.86 90.00°
Atoms (fractional coordinates):
K (0.211, 0.250, 0.250)
K (0.789, 0.750, 0.750)
Ce (0.320, 0.750, 0.842)
Ce (0.680, 0.250, 0.158)
Ag (0.082, 0.250, 0.597)
Ag (0.918, 0.750, 0.403)
S (0.126, 0.250, 0.875)
S (0.233, 0.750, 0.542)
S (0.463, 0.750, 0.148)
S (0.537, 0.250, 0.852)
S (0.767, 0.250, 0.458)
S (0.874, 0.750, 0.125)